Cd5Hg | PBEsol | optimized geometry Values from VASP.

Cell and atoms, written as Quantum ESPRESSO input:
```
&SYSTEM
  ibrav = 0, nat = 6, ntyp = 2
/
ATOMIC_SPECIES
Cd 112.41 Cd.upf
Hg 200.59 Hg.upf
ATOMIC_POSITIONS angstrom
Cd 0.000 0.000 0.000
Cd 2.215 4.348 2.180
Cd 2.215 2.196 0.000
Cd 2.215 -2.196 0.000
Cd 2.215 -4.348 2.180
Hg 2.215 0.000 2.180
CELL_PARAMETERS angstrom
2.215 -6.536 0.000
2.215 6.536 0.000
0.000 0.000 4.359
```

Summary:
Total magnetic moment = 0.00 μB per formula unit
Formation enthalpy at 0 K = 0.003 eV/atom